Entry 1:
Zn2SO: relaxed, GGA-PBE.

Results
E: -12.17 eV per formula unit
Relative energy among the computed polymorphs: 0.927 eV/atom
Formation energy from raw total energies: -0.1353 eV per atom

Cell lengths 4.190, 4.190, 4.190 Å; angles 60.00, 60.00, 60.00 degrees
Fractional positions:
Zn 0.250 0.250 0.250
Zn 0.750 0.750 0.750
S 0.500 0.500 0.500
O 0.000 0.000 0.000

***

Entry 2:
BeGeN2O: relaxed, GGA-PBE.

Results
E: -25.17 eV per formula unit
Formation energy from raw total energies: 0.9563 eV per atom

Cell lengths 3.772, 3.772, 3.723 Å; angles 90.00, 90.00, 90.00 degrees
Last column: magnetic moment on the atom in μB.
Fractional positions:
Be 0.500 0.500 0.500  -0.05
Ge 0.000 0.000 0.000  -0.03
O 0.000 0.000 0.500  0.28
N 0.000 0.500 0.000  0.47
N 0.500 0.000 0.000  0.47

***

Entry 3:
UI2O8: relaxed, GGA-PBE.

Results
E: -68.09 eV per formula unit
Relative energy among the computed polymorphs: 0.026 eV/atom
Formation energy from raw total energies: -1.2760 eV per atom

Cell lengths 5.080, 7.455, 6.140 Å; angles 121.65, 90.26, 96.88 degrees
Fractional positions:
U 0.000 0.000 0.000
I 0.287 0.342 0.727
I 0.713 0.658 0.273
O 0.354 0.578 0.217
O 0.646 0.422 0.783
O 0.748 0.887 0.229
O 0.273 0.185 0.373
O 0.176 0.771 0.881
O 0.252 0.113 0.771
O 0.727 0.815 0.627
O 0.824 0.229 0.119

***

Entry 4:
Er4InBi: relaxed, GGA-PBE.

Results
E: -26.22 eV per formula unit
Calculated formation energy: -1.35 eV per formula unit

Cell lengths 5.606, 6.396, 11.020 Å; angles 90.00, 104.74, 90.00 degrees
Last column: magnetic moment on the atom in μB.
Fractional positions:
Er 0.865 0.322 0.730  0.03
Er 0.135 0.822 0.270  0.03
Er 0.436 0.822 0.871  0.09
Er 0.564 0.322 0.129  0.09
Er 0.708 0.572 0.417  0.14
Er 0.292 0.072 0.583  0.14
Er 0.708 0.073 0.417  0.14
Er 0.292 0.573 0.583  0.14
In 0.577 0.822 0.155  0.00
In 0.423 0.322 0.845  0.00
Bi 0.849 0.822 0.699  0.00
Bi 0.151 0.322 0.301  0.00